# Cd3FeS PBE optimized geometry
data_Cd3FeS
_cell_length_a 4.9774
_cell_length_b 4.9774
_cell_length_c 4.9774
_cell_angle_alpha 90.00
_cell_angle_beta 90.00
_cell_angle_gamma 90.00
_symmetry_space_group_name_H-M 'P m -3 m'
_symmetry_Int_Tables_number 221
_symmetry_space_group_name_Hall '-P 4 2 3'
loop_
_atom_site_label
_atom_site_type_symbol
_atom_site_fract_x
_atom_site_fract_y
_atom_site_fract_z
Cd1 Cd 0.0000 0.0000 0.5000
Fe1 Fe 0.0000 0.0000 0.0000
S1 S 0.5000 0.5000 0.5000
# formation energy (no corrections) = 0.89 eV/atom

---

# TlCdInSb PBE optimized geometry
data_TlCdInSb
_cell_length_a 3.7850
_cell_length_b 3.7850
_cell_length_c 7.8782
_cell_angle_alpha 90.00
_cell_angle_beta 90.00
_cell_angle_gamma 90.00
_symmetry_space_group_name_H-M 'P 4 m m'
_symmetry_Int_Tables_number 99
_symmetry_space_group_name_Hall 'P 4 -2'
loop_
_atom_site_label
_atom_site_type_symbol
_atom_site_fract_x
_atom_site_fract_y
_atom_site_fract_z
Tl1 Tl 0.0000 0.0000 0.0000
Cd1 Cd 0.0000 0.0000 0.4912
In1 In 0.5000 0.5000 0.7139
Sb1 Sb 0.5000 0.5000 0.2839
# formation energy (no corrections) = 0.06 eV/atom

---

# CdMo2Se PBE optimized geometry
data_CdMo2Se
_cell_length_a 3.9105
_cell_length_b 3.9105
_cell_length_c 4.6994
_cell_angle_alpha 90.00
_cell_angle_beta 90.00
_cell_angle_gamma 90.00
_symmetry_space_group_name_H-M 'P 4/m m m'
_symmetry_Int_Tables_number 123
_symmetry_space_group_name_Hall '-P 4 2'
loop_
_atom_site_label
_atom_site_type_symbol
_atom_site_fract_x
_atom_site_fract_y
_atom_site_fract_z
Cd1 Cd 0.0000 0.0000 0.0000
Mo1 Mo 0.0000 0.5000 0.5000
Se1 Se 0.5000 0.5000 0.0000
# formation energy (no corrections) = 0.71 eV/atom

---

# LiNi2Pt PBE optimized geometry
data_LiNi2Pt
_cell_length_a 8.7529
_cell_length_b 2.6266
_cell_length_c 4.3635
_cell_angle_alpha 90.00
_cell_angle_beta 99.40
_cell_angle_gamma 90.00
_symmetry_space_group_name_H-M 'C 1 2/m 1'
_symmetry_Int_Tables_number 12
_symmetry_space_group_name_Hall '-C 2y'
loop_
_atom_site_label
_atom_site_type_symbol
_atom_site_fract_x
_atom_site_fract_y
_atom_site_fract_z
Li1 Li 0.0000 0.0000 0.0000
Ni1 Ni 0.2447 0.0000 0.7481
Pt1 Pt 0.0000 0.5000 0.5000
# ΔH_f (0 K) = -0.161 eV per atom

---

# HfTa4Mo5 PBE optimized geometry
data_HfTa4Mo5
_cell_length_a 3.2382
_cell_length_b 3.2382
_cell_length_c 16.3296
_cell_angle_alpha 90.00
_cell_angle_beta 90.00
_cell_angle_gamma 90.00
_symmetry_space_group_name_H-M 'P 4/m m m'
_symmetry_Int_Tables_number 123
_symmetry_space_group_name_Hall '-P 4 2'
loop_
_atom_site_label
_atom_site_type_symbol
_atom_site_fract_x
_atom_site_fract_y
_atom_site_fract_z
Hf1 Hf 0.0000 0.0000 0.0000
Ta1 Ta 0.0000 0.0000 0.2030
Ta2 Ta 0.0000 0.0000 0.4013
Mo1 Mo 0.5000 0.5000 0.1063
Mo2 Mo 0.5000 0.5000 0.3024
Mo3 Mo 0.5000 0.5000 0.5000
# ΔH_f (0 K) = -0.157 eV per atom

---

# Fe2Cu2Bi PBE optimized geometry
data_Fe2Cu2Bi
_cell_length_a 7.0418
_cell_length_b 7.0418
_cell_length_c 3.1366
_cell_angle_alpha 90.00
_cell_angle_beta 90.00
_cell_angle_gamma 90.00
_symmetry_space_group_name_H-M 'P 4/m b m'
_symmetry_Int_Tables_number 127
_symmetry_space_group_name_Hall '-P 4 2ab'
loop_
_atom_site_label
_atom_site_type_symbol
_atom_site_fract_x
_atom_site_fract_y
_atom_site_fract_z
Fe1 Fe 0.1168 0.3832 0.0000
Cu1 Cu 0.1695 0.6695 0.5000
Bi1 Bi 0.0000 0.0000 0.0000
# ΔH_f (0 K) = 0.447 eV per atom

---

We obtain total magnetic moment values of 0.00 0.00 0.00 2.96 0.00 10.46 μB/cell for the records listed above, in that order.